# 1
{
  "formula": "As2RuF",
  "functional": "PBE",
  "state": "optimized geometry",
  "dos_ef_per_ev_cell": 3.9,
  "sg": "No. 225",
  "magmom_total_mub_per_cell": 0.00,
  "e_form_raw_ev_per_atom": -0.283,
  "e_above_lowest_polymorph_mev_per_atom": 0,
  "cell": [[0.0000, 3.0452, 3.0452], [3.0452, 0.0000, 3.0452], [3.0452, 3.0452, 0.0000]],
  "species": ["Ru", "F", "As", "As"],
  "frac_coords": [[0.5000, 0.5000, 0.5000], [0.0000, 0.0000, 0.0000], [0.2500, 0.2500, 0.2500], [0.7500, 0.7500, 0.7500]]
}

---

# 2
{
  "formula": "AsRuF",
  "functional": "PBE",
  "state": "optimized geometry",
  "dos_ef_per_ev_cell": 10.3,
  "sg": "No. 14",
  "magmom_total_mub_per_cell": 0.00,
  "e_form_raw_ev_per_atom": -0.620,
  "cell": [[-1.1938, 3.3378, 3.5269], [-3.6840, -4.4994, 3.0111], [4.7376, -1.2345, 2.7719]],
  "species": ["F", "F", "Ru", "Ru", "Ru", "As", "As", "As", "F", "Ru", "F", "As"],
  "frac_coords": [[0.3185, 0.3636, 0.1674], [0.6815, 0.6364, 0.8326], [0.3574, 0.1181, 0.8455], [0.8574, 0.8819, 0.6545], [0.1426, 0.1181, 0.3455], [0.8317, 0.1828, 0.9689], [0.6683, 0.1828, 0.4689], [0.1683, 0.8172, 0.0311], [0.1815, 0.3636, 0.6674], [0.6426, 0.8819, 0.1545], [0.8185, 0.6364, 0.3326], [0.3317, 0.8172, 0.5311]]
}

---

# 3
{
  "formula": "AsRu3F",
  "functional": "PBE",
  "state": "optimized geometry",
  "dos_ef_per_ev_cell": 6.1,
  "sg": "No. 221",
  "magmom_total_mub_per_cell": 0.00,
  "e_form_raw_ev_per_atom": 1.007,
  "e_above_lowest_polymorph_mev_per_atom": 0,
  "cell": [[-0.4366, 3.9530, -1.3760], [-2.5319, -1.3511, -3.0781], [-3.3331, 0.5085, 2.5184]],
  "species": ["Ru", "Ru", "F", "Ru", "As"],
  "frac_coords": [[0.0000, 0.5000, 0.0000], [0.0000, 0.0000, 0.5000], [0.0000, 0.0000, 0.0000], [0.5000, 0.0000, 0.0000], [0.5000, 0.5000, 0.5000]]
}

---

# 4
{
  "formula": "AsRuSe2F",
  "functional": "PBE",
  "state": "optimized geometry",
  "dos_ef_per_ev_cell": 2.6,
  "sg": "No. 123",
  "magmom_total_mub_per_cell": 0.00,
  "e_form_raw_ev_per_atom": 0.729,
  "e_above_lowest_polymorph_mev_per_atom": 452,
  "cell": [[4.6640, 0.0000, 0.0000], [0.0000, 4.6640, 0.0000], [0.0000, 0.0000, 4.1310]],
  "species": ["Se", "Se", "As", "Ru", "F"],
  "frac_coords": [[0.0000, 0.5000, 0.0000], [0.5000, 0.0000, 0.0000], [0.0000, 0.0000, 0.5000], [0.5000, 0.5000, 0.5000], [0.0000, 0.0000, 0.0000]]
}